ThGaTe3 | PBE | relaxed

Lattice parameters (Å, degrees): 7.6694 8.8783 11.7585 90.00 90.00 90.00
Sites, in units of the cell vectors:
Te (0.6779, 0.6979, 0.5608)
Te (0.1779, 0.8021, 0.0608)
Te (0.6779, 0.6979, 0.9392)
Te (0.6701, 0.0013, 0.2500)
Te (0.8221, 0.1979, 0.5608)
Te (0.1779, 0.8021, 0.4392)
Te (0.1701, 0.4987, 0.7500)
Te (0.3221, 0.3021, 0.4392)
Te (0.3299, 0.9987, 0.7500)
Te (0.3221, 0.3021, 0.0608)
Te (0.8299, 0.5013, 0.2500)
Te (0.8221, 0.1979, 0.9392)
Th (0.0000, 0.5000, 0.5000)
Th (0.0000, 0.5000, 0.0000)
Th (0.5000, 0.0000, 0.0000)
Th (0.5000, 0.0000, 0.5000)
Ga (0.0370, 0.1991, 0.7500)
Ga (0.4630, 0.6991, 0.7500)
Ga (0.5370, 0.3009, 0.2500)
Ga (0.9630, 0.8009, 0.2500)

Calculated values
DOS(E_F) = 7.6 states/eV/cell
SG = No. 62


Th5GaTe4 | PBE | relaxed

Lattice parameters (Å, degrees): 6.2601 7.6983 7.7066 80.72 66.34 66.16
Sites, in units of the cell vectors:
Th (0.1061, 0.6185, 0.1733)
Th (0.8960, 0.3815, 0.8267)
Th (0.2777, 0.8264, 0.6192)
Th (0.5010, 0.0000, 0.0000)
Th (0.7243, 0.1736, 0.3808)
Te (0.4107, 0.3989, 0.7798)
Te (0.8099, 0.7801, 0.6006)
Te (0.5914, 0.6012, 0.2202)
Te (0.1921, 0.2199, 0.3994)
Ga (0.0010, 0.0000, 0.0000)

Calculated values
DOS(E_F) = 7.1 states/eV/cell
SG = No. 2


Th2GaTe | PBE | relaxed

Lattice parameters (Å, degrees): 4.4058 4.4058 7.6885 73.35 73.35 60.00
Sites, in units of the cell vectors:
Th (0.2596, 0.2596, 0.2213)
Th (0.7404, 0.7404, 0.7787)
Ga (0.0000, 0.0000, 0.0000)
Te (0.5000, 0.5000, 0.5000)

Calculated values
DOS(E_F) = 2.5 states/eV/cell
SG = No. 166
distance to the lowest polymorph of the same formula = 0 meV per atom


Th3GaTe2 | PBE | relaxed

Lattice parameters (Å, degrees): 7.7063 7.7059 13.9608 100.75 100.75 108.92
Sites, in units of the cell vectors:
Th (0.2232, 0.2232, 0.0000)
Th (0.3112, 0.8344, 0.1756)
Th (0.0268, 0.5268, 0.5000)
Th (0.1655, 0.6887, 0.8244)
Th (0.4732, 0.9732, 0.5000)
Th (0.7768, 0.7768, 0.0000)
Th (0.3856, 0.4088, 0.3244)
Th (0.9388, 0.9156, 0.3244)
Th (0.8644, 0.3412, 0.1756)
Th (0.0845, 0.0613, 0.6756)
Th (0.6589, 0.1357, 0.8244)
Th (0.5911, 0.6143, 0.6756)
Te (0.5041, 0.0041, 0.0082)
Te (0.5804, 0.5804, 0.1608)
Te (0.8303, 0.3303, 0.6606)
Te (0.4197, 0.4197, 0.8394)
Te (0.7459, 0.7459, 0.4918)
Te (0.9959, 0.4959, 0.9917)
Te (0.6696, 0.1696, 0.3392)
Te (0.2541, 0.2541, 0.5082)
Ga (0.0832, 0.0832, 0.1665)
Ga (0.3333, 0.8333, 0.6665)
Ga (0.1668, 0.6668, 0.3335)
Ga (0.9167, 0.9167, 0.8335)

Calculated values
DOS(E_F) = 17.6 states/eV/cell
SG = No. 70


Th4GaTe | PBE | relaxed

Lattice parameters (Å, degrees): 6.6177 7.3517 7.3517 90.00 90.00 90.00
Sites, in units of the cell vectors:
Th (0.0000, 0.6518, 0.8361)
Th (0.0000, 0.3482, 0.1639)
Th (0.5000, 0.1639, 0.3482)
Th (0.5000, 0.8361, 0.6518)
Th (0.0000, 0.1639, 0.6518)
Th (0.5000, 0.3482, 0.8361)
Th (0.5000, 0.6518, 0.1639)
Th (0.0000, 0.8361, 0.3482)
Te (0.2500, 0.0000, 0.0000)
Te (0.7500, 0.0000, 0.0000)
Ga (0.7500, 0.5000, 0.5000)
Ga (0.2500, 0.5000, 0.5000)

Calculated values
DOS(E_F) = 11.6 states/eV/cell
SG = No. 124


ThGa2Te6 | PBE | relaxed

Lattice parameters (Å, degrees): 7.6038 8.9011 8.9011 85.23 78.90 78.90
Sites, in units of the cell vectors:
Te (0.4934, 0.7372, 0.4866)
Te (0.6324, 0.9316, 0.8357)
Te (0.3676, 0.0684, 0.1643)
Te (0.9934, 0.4866, 0.7372)
Te (0.0185, 0.8620, 0.4140)
Te (0.4815, 0.5860, 0.1380)
Te (0.5066, 0.2628, 0.5134)
Te (0.0066, 0.5134, 0.2628)
Te (0.9815, 0.1380, 0.5860)
Te (0.1324, 0.8357, 0.9316)
Te (0.5185, 0.4140, 0.8620)
Te (0.8676, 0.1643, 0.0684)
Ga (0.2213, 0.2637, 0.3826)
Ga (0.7213, 0.3826, 0.2637)
Ga (0.2787, 0.6174, 0.7363)
Ga (0.7787, 0.7363, 0.6174)
Th (0.7500, 0.8412, 0.1588)
Th (0.2500, 0.1588, 0.8412)

Calculated values
SG = No. 15


Formation energy (no corrections) readings, ordered: -3.2; -9.4; -3.1; -5.3; -3.0; -4.2 eV per formula unit
Calculated density readings, ordered: 5.7; 9.3; 9.0; 9.1; 10.5; 6.5 Mg/m³